KVBP2HO9 (GGA+U, optimized geometry); DFT total energy = -7.129 eV per atom; calculated volume = 360.90 Å³ per cell
1.0
-3.501 3.766 -1.022
-5.218 -2.518 5.884
2.630 5.909 5.485
O H V B P K
18 2 2 2 4 2
Direct
0.123 0.672 0.463
0.945 0.849 0.662
0.705 0.804 0.445
0.055 0.151 0.338
0.485 0.005 0.225
0.445 0.646 0.206
0.246 0.193 0.048
0.028 0.405 0.794
0.555 0.354 0.794
0.754 0.807 0.952
0.055 0.925 0.155
0.945 0.075 0.845
0.972 0.595 0.206
0.732 0.600 0.655
0.515 0.995 0.775
0.877 0.328 0.537
0.268 0.400 0.345
0.295 0.196 0.555
0.468 0.163 0.501
0.532 0.837 0.499
0.269 0.195 0.804
0.731 0.805 0.196
0.124 0.269 0.444
0.876 0.731 0.556
0.785 0.936 0.812
0.197 0.582 0.303
0.803 0.418 0.697
0.215 0.064 0.188
0.278 0.674 0.888
0.722 0.326 0.112